(1)
Sr3Ta4O12F2: single point on PBEsol structure, meta-GGA SCAN.

E_form (uncorrected): -70.8 eV per formula unit
Mass density: 6.87 g/cm³
Symmetry: R-3m, No. 166

Structure (extended XYZ):
```
21
Lattice="3.763 2.172 5.993 -3.763 2.172 5.993 0.000 -4.345 5.993" Properties=species:S:1:pos:R:3 pbc="T T T"
Sr -1.881 -1.086 5.993
Sr -1.881 1.086 11.986
Sr 0.000 2.172 5.993
Ta 0.000 0.000 0.000
Ta -3.763 0.000 8.989
Ta -1.881 1.086 2.996
Ta 1.881 1.086 2.996
O -2.396 -1.383 8.582
O 0.000 -2.676 4.925
O -2.317 1.338 4.925
O 0.000 -2.767 9.397
O -2.396 1.383 9.397
O -2.317 -1.338 13.054
O 2.317 1.338 4.925
O 2.396 -1.383 8.582
O 0.000 2.767 8.582
O 2.317 -1.338 13.054
O 0.000 2.676 13.054
O 2.396 1.383 9.397
F 0.000 0.000 6.750
F 0.000 0.000 11.229
```

(2)
Sr5V3O12F: single point on PBEsol structure, meta-GGA SCAN.

E_form (uncorrected): -68.1 eV per formula unit
Mass density: 4.19 g/cm³
Symmetry: P6_3/m, No. 176

Structure (extended XYZ):
```
42
Lattice="9.957 0.000 0.000 -4.979 8.623 0.000 0.000 0.000 7.395" Properties=species:S:1:pos:R:3 pbc="T T T"
Sr -3.692 6.556 1.849
Sr 1.147 2.148 1.849
Sr 2.434 0.080 5.546
Sr 0.000 5.749 0.006
Sr 0.000 5.749 3.691
Sr 4.979 2.874 3.703
Sr 4.979 2.874 7.389
Sr 2.545 8.543 1.849
Sr 3.831 6.475 5.546
Sr 8.671 2.068 5.546
V -2.834 5.455 5.546
V 1.671 3.441 5.546
V 3.816 0.273 1.849
V 1.163 8.350 5.546
V 3.307 5.182 1.849
V 7.813 3.168 1.849
O -2.816 6.485 4.188
O -2.816 6.485 6.904
O -1.362 4.562 5.546
O -0.744 4.163 1.849
O 0.771 2.942 4.188
O 0.771 2.942 6.904
O -1.001 7.186 1.849
O 2.933 0.803 0.490
O 2.933 0.803 3.207
O -0.346 7.522 5.546
O 1.709 5.162 5.546
O 3.233 2.726 5.546
O 1.745 5.897 1.849
O 3.270 3.461 1.849
O 5.325 1.101 1.849
O 2.046 7.820 4.188
O 2.046 7.820 6.904
O 5.980 1.437 5.546
O 4.208 5.682 0.490
O 4.208 5.682 3.207
O 5.723 4.460 5.546
O 6.341 4.061 1.849
O 7.795 2.138 0.490
O 7.795 2.138 3.207
F 0.000 0.000 1.849
F 0.000 0.000 5.546
```

(3)
Sr7Y6OF30: single point on PBEsol structure, meta-GGA SCAN.

E_form (uncorrected): -190.9 eV per formula unit
Mass density: 4.91 g/cm³
Symmetry: R3, No. 146

Structure (extended XYZ):
```
44
Lattice="7.199 4.156 3.266 -7.199 4.156 3.266 0.000 -8.312 3.266" Properties=species:S:1:pos:R:3 pbc="T T T"
Sr 0.000 0.000 0.000
Sr -4.211 1.294 3.626
Sr 0.985 -4.294 3.626
Sr -3.192 -3.044 6.811
Sr 3.226 3.000 3.626
Sr -1.040 4.286 6.811
Sr 4.232 -1.243 6.811
Y -1.517 -1.465 3.430
Y -0.511 2.046 3.430
Y 2.027 -0.581 3.430
Y -2.387 0.710 6.939
Y 0.579 -2.422 6.939
Y 1.808 1.713 6.939
O 0.000 0.000 4.047
F -5.933 -0.370 4.403
F -1.308 -3.817 2.726
F -3.351 -3.083 4.349
F -5.467 -2.453 5.949
F -2.032 0.590 2.590
F -0.584 -6.083 4.356
F -2.652 3.042 2.726
F 0.505 -2.054 2.590
F -4.977 3.547 4.356
F -2.711 -0.617 5.196
F -0.781 -2.659 5.181
F -4.337 1.381 6.084
F 1.527 1.465 2.590
F -1.912 2.006 5.181
F 3.287 -4.953 4.403
F 0.972 -4.446 6.084
F -0.994 4.443 4.349
F 1.890 -2.039 5.196
F 3.960 0.776 2.726
F -1.159 -1.109 7.502
F 4.345 -1.361 4.349
F 0.821 2.656 5.196
F 2.693 0.653 5.181
F -0.381 1.558 7.502
F 4.858 -3.509 5.949
F 2.646 5.323 4.403
F 1.540 -0.449 7.502
F 0.610 5.961 5.949
F 5.560 2.536 4.356
F 3.364 3.065 6.084
```

(4)
SrZnOF2: single point on PBEsol structure, meta-GGA SCAN.

E_form (uncorrected): -14.2 eV per formula unit
Mass density: 5.31 g/cm³
Symmetry: P4/mmm, No. 123

Structure (extended XYZ):
```
5
Lattice="4.067 0.000 0.000 0.000 4.067 0.000 0.000 0.000 3.911" Properties=species:S:1:pos:R:3 pbc="T T T"
Sr 0.000 0.000 0.000
Zn 2.034 2.034 1.955
O 2.034 2.034 0.000
F 0.000 2.034 1.955
F 2.034 0.000 1.955
```

(5)
TaTeO2F: single point on PBEsol structure, meta-GGA SCAN.

E_form (uncorrected): 1.3 eV per formula unit
Mass density: 7.67 g/cm³
Symmetry: P4/mmm, No. 123

Structure (extended XYZ):
```
5
Lattice="4.232 0.000 0.000 0.000 4.232 0.000 0.000 0.000 4.348" Properties=species:S:1:pos:R:3 pbc="T T T"
Ta 0.000 0.000 0.000
Te 2.116 2.116 2.174
O 0.000 2.116 2.174
O 2.116 0.000 2.174
F 2.116 2.116 0.000
```

(6)
TbOF: single point on PBEsol structure, meta-GGA SCAN.

E_form (uncorrected): -12.7 eV per formula unit
Mass density: 8.22 g/cm³
Symmetry: R-3m, No. 166

Structure (extended XYZ):
```
6
Lattice="1.895 1.094 6.292 -1.895 1.094 6.292 0.000 -2.189 6.292" Properties=species:S:1:pos:R:3 pbc="T T T"
Tb 0.000 0.000 4.558
Tb 0.000 0.000 14.317
O 0.000 0.000 2.295
O 0.000 0.000 16.580
F 0.000 0.000 6.983
F 0.000 0.000 11.892
```

(7)
TcOF2: single point on PBEsol structure, meta-GGA SCAN.

E_form (uncorrected): -3.0 eV per formula unit
Mass density: 6.74 g/cm³
Symmetry: I-42d, No. 122

Structure (extended XYZ):
```
8
Lattice="-1.580 1.580 7.496 1.580 -1.580 7.496 1.580 1.580 -7.496" Properties=species:S:1:pos:R:3 pbc="T T T"
Tc 0.000 0.000 0.000
Tc 0.000 1.580 3.748
O 1.580 0.000 3.748
O 0.000 0.000 7.496
F 2.370 0.689 -1.874
F 0.689 0.790 1.874
F -0.790 0.891 5.622
F 0.891 0.790 9.370
```

(8)
TcOF4: single point on PBEsol structure, meta-GGA SCAN.

E_form (uncorrected): -12.6 eV per formula unit
Mass density: 3.32 g/cm³
Symmetry: P6_3/m, No. 176

Structure (extended XYZ):
```
36
Lattice="9.028 0.000 0.000 -4.514 7.818 0.000 0.000 0.000 8.089" Properties=species:S:1:pos:R:3 pbc="T T T"
Tc -2.407 5.210 2.022
Tc 1.205 3.128 2.022
Tc 3.312 0.521 6.066
Tc 1.202 7.298 2.022
Tc 3.309 4.690 6.066
Tc 6.921 2.608 6.066
O -0.854 3.632 6.066
O -0.941 6.742 6.066
O 2.719 2.556 2.022
O 1.795 5.262 6.066
O 5.455 1.076 2.022
O 5.368 4.186 2.022
F -3.198 6.856 2.022
F -2.065 5.445 0.221
F -2.065 5.445 3.824
F 0.175 1.621 2.022
F -0.938 3.989 2.022
F 1.491 0.659 6.066
F 0.831 3.308 0.221
F 0.831 3.308 3.824
F -0.591 6.636 2.022
F 3.280 0.934 4.265
F 3.280 0.934 7.868
F 1.529 5.012 2.022
F 2.985 2.807 6.066
F 1.234 6.884 0.221
F 1.234 6.884 3.824
F 5.104 1.182 6.066
F 3.683 4.511 4.265
F 3.683 4.511 7.868
F 3.022 7.159 2.022
F 5.452 3.830 6.066
F 4.339 6.197 6.066
F 6.579 2.374 4.265
F 6.579 2.374 7.868
F 7.711 0.962 6.066
```

(9)
TlTcOF2: single point on PBEsol structure, meta-GGA SCAN.

E_form (uncorrected): -2.0 eV per formula unit
Mass density: 7.06 g/cm³
Symmetry: P4/mmm, No. 123

Structure (extended XYZ):
```
5
Lattice="4.498 0.000 0.000 0.000 4.498 0.000 0.000 0.000 4.146" Properties=species:S:1:pos:R:3 pbc="T T T"
Tl 0.000 0.000 0.000
Tc 2.249 2.249 2.073
O 0.000 0.000 2.073
F 0.000 2.249 0.000
F 2.249 0.000 0.000
```

(10)
TcWO2F: single point on PBEsol structure, meta-GGA SCAN.

E_form (uncorrected): 0.3 eV per formula unit
Mass density: 7.59 g/cm³
Symmetry: P4/mmm, No. 123

Structure (extended XYZ):
```
5
Lattice="3.656 0.000 0.000 0.000 3.656 0.000 0.000 0.000 5.451" Properties=species:S:1:pos:R:3 pbc="T T T"
Tc 0.000 0.000 0.000
W 1.828 1.828 2.725
O 0.000 1.828 0.000
O 1.828 0.000 0.000
F 0.000 0.000 2.725
```

(11)
ZnTcOF2: single point on PBEsol structure, meta-GGA SCAN.

E_form (uncorrected): -5.6 eV per formula unit
Mass density: 5.87 g/cm³
Symmetry: P4/mmm, No. 123

Structure (extended XYZ):
```
5
Lattice="3.904 0.000 0.000 0.000 3.904 0.000 0.000 0.000 4.033" Properties=species:S:1:pos:R:3 pbc="T T T"
Zn 0.000 0.000 0.000
Tc 1.952 1.952 2.016
O 0.000 0.000 2.016
F 0.000 1.952 0.000
F 1.952 0.000 0.000
```

(12)
ZrTcOF2: single point on PBEsol structure, meta-GGA SCAN.

E_form (uncorrected): -8.4 eV per formula unit
Mass density: 5.54 g/cm³
Symmetry: P4/mmm, No. 123

Structure (extended XYZ):
```
5
Lattice="4.234 0.000 0.000 0.000 4.234 0.000 0.000 0.000 4.064" Properties=species:S:1:pos:R:3 pbc="T T T"
Zr 0.000 0.000 0.000
Tc 2.117 2.117 2.032
O 0.000 0.000 2.032
F 0.000 2.117 0.000
F 2.117 0.000 0.000
```

(13)
TeOF2: single point on PBEsol structure, meta-GGA SCAN.

E_form (uncorrected): 0.6 eV per formula unit
Mass density: 4.98 g/cm³
Symmetry: R-3m, No. 166

Structure (extended XYZ):
```
4
Lattice="1.556 0.898 7.218 -1.556 0.898 7.218 0.000 -1.796 7.218" Properties=species:S:1:pos:R:3 pbc="T T T"
Te 0.000 0.000 0.000
O 0.000 0.000 10.827
F 0.000 0.000 9.097
F 0.000 0.000 12.558
```

(14)
TeOF2: single point on PBEsol structure, meta-GGA SCAN.

E_form (uncorrected): -7.2 eV per formula unit
Mass density: 5.04 g/cm³
Symmetry: P2_1, No. 4

Structure (extended XYZ):
```
16
Lattice="5.306 0.000 0.000 0.000 7.927 0.000 -1.025 0.000 5.694" Properties=species:S:1:pos:R:3 pbc="T T T"
Te -0.215 0.000 1.897
Te 1.993 5.701 0.377
Te 2.288 1.737 5.316
Te 4.496 3.964 3.797
O 0.420 6.150 1.434
O 0.070 4.067 5.527
O 4.211 0.103 0.167
O 3.861 2.186 4.260
F -0.016 6.246 4.276
F 0.835 2.982 3.329
F 1.473 0.568 0.824
F 1.747 0.541 3.883
F 2.533 4.505 1.811
F 2.808 4.531 4.870
F 3.446 6.946 2.365
F 4.297 2.283 1.418
```

(15)
Te2OF: single point on PBEsol structure, meta-GGA SCAN.

E_form (uncorrected): -0.5 eV per formula unit
Mass density: 7.74 g/cm³
Symmetry: Fm-3m, No. 225

Structure (extended XYZ):
```
4
Lattice="0.000 3.146 3.146 3.146 0.000 3.146 3.146 3.146 0.000" Properties=species:S:1:pos:R:3 pbc="T T T"
Te 1.573 1.573 1.573
Te 4.719 4.719 4.719
O 0.000 0.000 0.000
F 3.146 3.146 3.146
```

(16)
Te2O3F2: single point on PBEsol structure, meta-GGA SCAN.

E_form (uncorrected): -10.6 eV per formula unit
Mass density: 5.72 g/cm³
Symmetry: P-1, No. 2

Structure (extended XYZ):
```
14
Lattice="5.124 0.000 0.000 -0.212 6.094 0.000 -2.385 -1.149 6.345" Properties=species:S:1:pos:R:3 pbc="T T T"
Te -0.006 2.202 1.358
Te 0.106 -0.677 4.803
Te 2.421 5.622 1.542
Te 2.533 2.743 4.987
O -1.757 4.523 4.460
O 0.484 4.083 0.415
O 1.771 0.874 0.426
O 0.756 4.070 5.919
O 2.043 0.862 5.930
O 4.284 0.422 1.885
F -0.891 1.879 4.481
F 0.681 4.224 3.344
F 1.846 0.721 3.000
F 3.418 3.066 1.863
```

(17)
TiTeO3F2: single point on PBEsol structure, meta-GGA SCAN.

E_form (uncorrected): -17.4 eV per formula unit
Mass density: 4.42 g/cm³
Symmetry: P2_1/c, No. 14

Structure (extended XYZ):
```
56
Lattice="6.457 0.000 0.000 0.000 7.401 0.000 -6.399 0.000 16.432" Properties=species:S:1:pos:R:3 pbc="T T T"
Ti -1.639 0.958 6.075
Ti -4.839 2.742 14.291
Ti -1.612 4.483 6.085
Ti -4.811 6.618 14.301
Ti 4.869 0.783 2.131
Ti 1.670 2.918 10.347
Ti 4.897 4.659 2.141
Ti 1.697 6.443 10.357
Te -1.635 0.984 10.417
Te 1.564 2.716 2.201
Te -1.505 4.699 10.428
Te 1.694 6.403 2.212
Te -1.636 0.998 14.219
Te 1.563 2.702 6.004
Te -1.506 4.685 14.231
Te 1.693 6.417 6.015
O -5.251 0.977 14.300
O -2.052 2.724 6.084
O 0.256 1.318 2.152
O -2.943 2.382 10.368
O 0.286 4.139 2.264
O -2.913 6.963 10.480
O 0.292 4.134 5.967
O -2.907 6.968 14.183
O 0.273 1.288 6.031
O -2.927 2.413 14.247
O -1.812 4.735 12.332
O 1.387 6.367 4.116
O -1.329 1.034 12.316
O 1.870 2.666 4.100
O 2.985 4.988 2.185
O -0.215 6.113 10.401
O 2.965 0.434 2.249
O -0.234 3.267 10.465
O 2.971 0.439 5.952
O -0.228 3.262 14.168
O 3.001 5.019 6.064
O -0.198 6.083 14.280
O 2.110 4.677 10.347
O 5.309 6.424 2.131
F -1.576 0.882 4.100
F -4.775 2.818 12.316
F -4.303 4.676 14.154
F -1.104 6.426 5.938
F -1.665 0.738 7.917
F -4.865 2.963 16.133
F -1.459 4.682 7.929
F -4.658 6.420 16.145
F 4.716 0.981 0.287
F 1.517 2.720 8.503
F 4.923 4.439 0.299
F 1.724 6.663 8.514
F 1.162 0.976 10.493
F 4.361 2.725 2.278
F 4.833 4.583 4.116
F 1.634 6.519 12.332
```